A plane-wave DFT calculation with PBE was carried out for crystalline Li2BeSb at its relaxed geometry.

Properties
- energy relative to the elements, uncorrected (eV/atom) = -0.032
- offset from the most stable computed form (meV/atom) = 99
- total DFT energy (no corrections) (eV/atom) = -2.951

Unit cell a=6.3352 b=6.3352 c=6.3352 alpha=90.00 beta=90.00 gamma=90.00
Space group Fm-3m (No. 225)
Unique sites:
Li (0.2500, 0.2500, 0.2500) [8 per cell]
Be (0.0000, 0.0000, 0.0000) [4 per cell]
Sb (0.0000, 0.0000, 0.5000) [4 per cell]